[1]
Density functional theory data (PBE) for a relaxed structure of Co2MoOs.

a = 3.621 Å, b = 3.621 Å, c = 8.989 Å
α = 78.38°, β = 78.38°, γ = 90.00°
Site moments in Bohr magnetons follow the coordinates.
Fractional positions:
1 Co 0.639 0.125 0.250  0.64
2 Co 0.111 0.625 0.250  0.65
3 Co 0.375 0.361 0.750  0.65
4 Co 0.875 0.889 0.750  0.66
5 Mo 0.500 0.500 0.000  -0.11
6 Mo 0.250 0.750 0.500  -0.11
7 Os 0.000 0.000 0.000  0.01
8 Os 0.750 0.250 0.500  0.01

## Properties
Energy of formation from the pure elements in eV per atom: 0.652
Energy above the most stable polymorph in this dataset in meV/atom: 654

***

[2]
Density functional theory data (PBE) for a relaxed structure of PuAg2AsSe4.

a = 8.094 Å, b = 8.094 Å, c = 8.343 Å
α = 121.04°, β = 121.04°, γ = 89.97°
Site moments in Bohr magnetons follow the coordinates.
Fractional positions:
1 Pu 0.000 0.500 0.000  5.06
2 Pu 0.000 0.500 0.500  5.07
3 Ag 0.500 0.000 0.000  -0.04
4 Ag 0.500 0.000 0.500  -0.04
5 Ag 0.000 0.000 0.500  0.00
6 Ag 0.500 0.500 0.000  0.00
7 As 0.500 0.500 0.500  0.03
8 As 0.000 0.000 0.000  0.03
9 Se 0.245 0.759 0.002  -0.09
10 Se 0.741 0.255 0.498  -0.09
11 Se 0.259 0.745 0.502  -0.09
12 Se 0.755 0.241 0.998  -0.09
13 Se 0.747 0.753 0.986  -0.04
14 Se 0.747 0.753 0.514  -0.04
15 Se 0.253 0.247 0.486  -0.04
16 Se 0.253 0.247 0.014  -0.04

## Properties
Formation energy from raw total energies in meV per atom: -462.4

***

[3]
Density functional theory data (PBE) for a relaxed structure of GeHPt.

a = 4.247 Å, b = 7.099 Å, c = 6.356 Å
α = 116.76°, β = 90.00°, γ = 90.00°
Fractional positions:
1 Ge 0.502 0.889 0.655
2 Ge 0.498 0.111 0.345
3 Ge 0.002 0.611 0.345
4 Ge 0.998 0.389 0.655
5 H 0.745 0.252 0.003
6 H 0.255 0.748 0.997
7 H 0.755 0.752 0.003
8 H 0.245 0.248 0.997
9 Pt 0.998 0.212 0.194
10 Pt 0.502 0.712 0.194
11 Pt 0.002 0.788 0.806
12 Pt 0.498 0.288 0.806

## Properties
Energy above the most stable polymorph in this dataset in meV/atom: 0

***

[4]
Density functional theory data (PBE) for a relaxed structure of Na4La2Cl9.

a = 7.246 Å, b = 7.249 Å, c = 19.229 Å
α = 90.02°, β = 90.04°, γ = 60.04°
Site moments in Bohr magnetons follow the coordinates.
Fractional positions:
1 Na 0.333 0.334 0.984  0.00
2 Na 0.334 0.334 0.485  0.00
3 Na 0.667 0.666 0.016  0.00
4 Na 0.332 0.334 0.178  0.00
5 Na 0.666 0.666 0.515  0.00
6 Na 0.665 0.667 0.323  0.00
7 Na 0.335 0.333 0.677  0.00
8 Na 0.668 0.666 0.822  0.00
9 La 0.999 0.002 0.345  0.30
10 La 0.000 0.999 0.154  0.30
11 La 0.001 0.998 0.655  0.30
12 La 0.000 0.001 0.846  0.30
13 Cl 0.002 0.312 0.750  0.00
14 Cl 0.313 0.687 0.750  0.00
15 Cl 0.687 0.000 0.750  0.00
16 Cl 0.998 0.688 0.250  0.00
17 Cl 0.687 0.313 0.250  0.00
18 Cl 0.313 0.000 0.250  0.00
19 Cl 0.669 0.975 0.415  0.00
20 Cl 0.972 0.358 0.416  0.00
21 Cl 0.356 0.671 0.415  0.00
22 Cl 0.642 0.028 0.085  0.00
23 Cl 0.330 0.642 0.085  0.00
24 Cl 0.028 0.328 0.085  0.00
25 Cl 0.331 0.025 0.585  0.00
26 Cl 0.028 0.642 0.584  0.00
27 Cl 0.644 0.329 0.585  0.00
28 Cl 0.358 0.972 0.915  0.00
29 Cl 0.670 0.358 0.915  0.00
30 Cl 0.972 0.672 0.915  0.00

## Properties
Formation energy from raw total energies in meV per atom: -2041.1

***

[5]
Density functional theory data (PBE) for a relaxed structure of La2FeSi.

a = 6.266 Å, b = 6.266 Å, c = 4.626 Å
α = 68.34°, β = 68.34°, γ = 33.76°
Site moments in Bohr magnetons follow the coordinates.
Fractional positions:
1 Fe 0.202 0.202 0.298  1.79
2 La 0.973 0.973 0.027  -0.04
3 La 0.758 0.758 0.742  -0.12
4 Si 0.567 0.567 0.433  -0.01

## Properties
Formation energy from raw total energies in meV per atom: -248.4

***

[6]
Density functional theory data (PBE) for a relaxed structure of Nd6YGa.

a = 9.497 Å, b = 8.728 Å, c = 6.447 Å
α = 47.41°, β = 42.59°, γ = 57.07°
Fractional positions:
1 Nd 0.038 0.427 0.771
2 Nd 0.764 0.963 0.701
3 Nd 0.573 0.236 0.154
4 Nd 0.236 0.037 0.299
5 Nd 0.962 0.573 0.229
6 Nd 0.427 0.764 0.846
7 Y 0.500 0.500 0.500
8 Ga 0.000 0.000 0.000

## Properties
Energy of formation from the pure elements in eV per atom: -0.035

***

[7]
Density functional theory data (PBE) for a relaxed structure of Sr2ZnPdN.

a = 5.338 Å, b = 5.338 Å, c = 3.884 Å
α = 90.00°, β = 90.00°, γ = 90.00°
Fractional positions:
1 Sr 0.000 0.500 0.000
2 Sr 0.500 0.000 0.000
3 Zn 0.000 0.000 0.500
4 Pd 0.500 0.500 0.500
5 N 0.000 0.000 0.000

## Properties
Formation energy from raw total energies in meV per atom: -414.4
Energy above the most stable polymorph in this dataset in meV/atom: 112

***

[8]
Density functional theory data (PBE) for a relaxed structure of TiTcP2Cl.

a = 4.547 Å, b = 4.547 Å, c = 4.933 Å
α = 90.00°, β = 90.00°, γ = 90.00°
Site moments in Bohr magnetons follow the coordinates.
Fractional positions:
1 P 0.000 0.500 0.000  0.00
2 P 0.500 0.000 0.000  0.00
3 Cl 0.000 0.000 0.500  -0.01
4 Tc 0.000 0.000 0.000  -0.23
5 Ti 0.500 0.500 0.500  0.09

## Properties
Formation energy from raw total energies in meV per atom: 506.3
Energy above the most stable polymorph in this dataset in meV/atom: 0